Record 1
A geometry-optimized Zr3HgN structure. Source: the Alexandria database, functional PBE.

Values from the calculation:
- Size of the total moment: 0.0 μB/f.u.
- Calculated volume: 21.6 Å³/atom
- Formation energy without anion corrections: -0.524 eV per atom

Lattice parameters (Å, degrees): 8.4850 8.4850 8.4850 60.00 60.00 60.00
Fractional coordinates of all 20 atoms:
Hg: 0.6250 0.6250 0.6250
Zr: 0.1852 0.8148 0.8148
N: 0.1250 0.1250 0.1250
Hg: 0.6250 0.6250 0.1250
Zr: 0.0648 0.4352 0.4352
Zr: 0.8148 0.8148 0.1852
Zr: 0.1852 0.8148 0.1852
Zr: 0.4352 0.0648 0.0648
Zr: 0.1852 0.1852 0.8148
Hg: 0.6250 0.1250 0.6250
Zr: 0.0648 0.4352 0.0648
N: 0.1250 0.1250 0.6250
N: 0.1250 0.6250 0.1250
N: 0.6250 0.1250 0.1250
Hg: 0.1250 0.6250 0.6250
Zr: 0.0648 0.0648 0.4352
Zr: 0.8148 0.1852 0.1852
Zr: 0.4352 0.4352 0.0648
Zr: 0.8148 0.1852 0.8148
Zr: 0.4352 0.0648 0.4352


Record 2
A geometry-optimized Ag5Au7 structure. Source: the Alexandria database, functional PBE.

Values from the calculation:
- Size of the total moment: 0.0 μB/f.u.
- Calculated volume: 18.0 Å³/atom
- Formation energy from the elements: -0.0418 eV/atom
- ΔE to the lowest computed polymorph: 0.000 eV/atom

Lattice parameters (Å, degrees): 5.1060 5.0850 11.4460 67.95 57.91 59.92
Fractional coordinates of all 12 atoms:
Ag: 0.7503 0.2498 0.2496
Au: 0.4161 0.9144 0.2514
Au: 0.3347 0.3329 0.9999
Au: 0.0811 0.5822 0.2513
Au: 0.9189 0.4178 0.7487
Au: 0.6653 0.6671 0.0001
Ag: 0.0000 0.0000 0.0000
Au: 0.5839 0.0856 0.7486
Ag: 0.2497 0.7502 0.7504
Ag: 0.8322 0.8337 0.5000
Ag: 0.1678 0.1663 0.5000
Au: 0.5000 0.5000 0.5000


Record 3
A geometry-optimized GeTePt structure. Source: the Alexandria database, functional PBE.

Values from the calculation:
- Size of the total moment: 0.0 μB/f.u.
- Calculated volume: 22.4 Å³/atom
- Formation energy without anion corrections: -0.330 eV per atom

Lattice parameters (Å, degrees): 5.0986 6.9868 7.5322 89.11 90.00 90.00
Fractional coordinates of all 12 atoms:
Te: 0.7207 0.4269 0.8997
Pt: 0.9844 0.7694 0.8606
Te: 0.2793 0.5731 0.1003
Pt: 0.5156 0.7694 0.3606
Ge: 0.2125 0.0517 0.4082
Pt: 0.0156 0.2306 0.1394
Te: 0.7793 0.4269 0.3997
Pt: 0.4844 0.2306 0.6394
Ge: 0.7875 0.9483 0.5918
Ge: 0.2875 0.0517 0.9082
Te: 0.2207 0.5731 0.6003
Ge: 0.7125 0.9483 0.0918


Record 4
A geometry-optimized SmErAs structure. Source: the Alexandria database, functional PBE.

Values from the calculation:
- Size of the total moment: 0.9 μB/f.u.
- Calculated volume: 26.4 Å³/atom
- Formation energy from the elements: -0.7251 eV/atom

Lattice parameters (Å, degrees): 3.7251 3.7251 6.2776 107.26 107.26 90.00
Site moments in Bohr magnetons follow the coordinates.
Fractional coordinates of all 3 atoms:
Sm: 0.9300 0.9300 0.8601  0.23
As: 0.2735 0.2735 0.5470  0.00
Er: 0.6465 0.6465 0.2929  0.33


Record 5
A geometry-optimized BeSiSb structure. Source: the Alexandria database, functional PBE.

Values from the calculation:
- Size of the total moment: 0.3 μB/f.u.
- Calculated volume: 21.7 Å³/atom
- Formation energy without anion corrections: 0.914 eV per atom
- ΔE to the lowest computed polymorph: 0.725 eV/atom

Lattice parameters (Å, degrees): 4.5140 4.5140 4.5140 60.00 60.00 60.00
Site moments in Bohr magnetons follow the coordinates.
Fractional coordinates of all 3 atoms:
Sb: 0.7500 0.7500 0.7500  0.02
Be: 0.5000 0.5000 0.5000  0.04
Si: 0.0000 0.0000 0.0000  0.06


Record 6
A geometry-optimized SiRu2WSe structure. Source: the Alexandria database, functional PBE.

Values from the calculation:
- Size of the total moment: 0.0 μB/f.u.
- Calculated volume: 17.5 Å³/atom
- Formation energy without anion corrections: 1.406 eV per atom

Lattice parameters (Å, degrees): 4.3693 4.5922 4.3693 90.00 90.00 90.00
Fractional coordinates of all 5 atoms:
Si: 0.0000 0.0000 0.0000
W: 0.5000 0.5000 0.5000
Ru: 0.0000 0.0000 0.5000
Se: 0.0000 0.5000 0.0000
Ru: 0.5000 0.0000 0.0000


Record 7
A geometry-optimized LiPaFeTc structure. Source: the Alexandria database, functional PBE.

Values from the calculation:
- Size of the total moment: 1.0 μB/f.u.
- Calculated volume: 15.3 Å³/atom
- Formation energy from the elements: 0.0408 eV/atom

Lattice parameters (Å, degrees): 4.4261 4.4261 4.4261 60.00 60.00 60.00
Site moments in Bohr magnetons follow the coordinates.
Fractional coordinates of all 4 atoms:
Pa: 0.5000 0.5000 0.5000  -0.28
Fe: 0.2500 0.2500 0.2500  1.09
Li: 0.0000 0.0000 0.0000  -0.02
Tc: 0.7500 0.7500 0.7500  0.25


Record 8
A geometry-optimized Nd2HoScBi4 structure. Source: the Alexandria database, functional PBE.

Values from the calculation:
- Size of the total moment: 0.0 μB/f.u.
- Calculated volume: 32.0 Å³/atom
- Formation energy from the elements: -0.8351 eV/atom

Lattice parameters (Å, degrees): 4.4987 7.7878 7.7634 109.54 90.00 90.00
Fractional coordinates of all 8 atoms:
Bi: 0.5000 0.2511 0.2356
Bi: 0.5000 0.7489 0.7644
Nd: 0.0000 0.5000 0.5000
Bi: 0.0000 0.2619 0.7686
Sc: 0.5000 0.5000 0.0000
Ho: 0.0000 0.0000 0.0000
Nd: 0.5000 0.0000 0.5000
Bi: 0.0000 0.7381 0.2314


Record 9
A geometry-optimized Ca2PClO4 structure. Source: the Alexandria database, functional PBE.

Values from the calculation:
- Size of the total moment: 0.0 μB/f.u.
- Calculated volume: 15.0 Å³/atom
- Formation energy without anion corrections: -2.835 eV per atom

Lattice parameters (Å, degrees): 6.2714 7.0353 10.9116 90.00 90.00 90.00
Fractional coordinates of all 32 atoms:
Ca: 0.8703 0.9710 0.2500
O: 0.2855 0.4238 0.0238
O: 0.7145 0.5762 0.5238
O: 0.7145 0.9238 0.4762
Ca: 0.3652 0.7500 0.5000
Cl: 0.5241 0.2199 0.2500
O: 0.2855 0.4238 0.4762
Cl: 0.4759 0.7801 0.7500
Ca: 0.6348 0.2500 0.0000
O: 0.9924 0.2728 0.6149
Ca: 0.6348 0.2500 0.5000
O: 0.0076 0.7272 0.3851
Ca: 0.3652 0.7500 0.0000
O: 0.2855 0.0762 0.5238
O: 0.9924 0.2272 0.3851
P: 0.1392 0.2500 0.0000
O: 0.0076 0.7728 0.8851
O: 0.9924 0.2272 0.1149
O: 0.0076 0.7728 0.6149
O: 0.7145 0.5762 0.9762
O: 0.0076 0.7272 0.1149
O: 0.7145 0.9238 0.0238
Ca: 0.1297 0.4710 0.2500
O: 0.2855 0.0762 0.9762
Ca: 0.8703 0.5290 0.7500
Cl: 0.4759 0.7199 0.2500
P: 0.8608 0.7500 0.5000
O: 0.9924 0.2728 0.8851
P: 0.8608 0.7500 0.0000
Cl: 0.5241 0.2801 0.7500
Ca: 0.1297 0.0290 0.7500
P: 0.1392 0.2500 0.5000


Record 10
A geometry-optimized Cs3URh2S6 structure. Source: the Alexandria database, functional PBE.

Values from the calculation:
- Size of the total moment: 2.4 μB/f.u.
- Calculated volume: 24.7 Å³/atom
- Formation energy without anion corrections: -0.863 eV per atom

Lattice parameters (Å, degrees): 6.5657 6.5657 8.2459 97.67 97.67 119.99
Site moments in Bohr magnetons follow the coordinates.
Fractional coordinates of all 12 atoms:
U: 0.0000 0.0000 0.0000  1.78
Cs: 0.8350 0.1650 0.5000  0.01
S: 0.9442 0.5878 0.8320  -0.01
Rh: 0.6665 0.3335 0.0000  0.21
S: 0.5878 0.9442 0.8320  -0.01
S: 0.4122 0.0558 0.1680  -0.01
S: 0.0558 0.4122 0.1680  -0.01
Cs: 0.5000 0.5000 0.5000  0.01
S: 0.3007 0.3007 0.8330  -0.01
Cs: 0.1650 0.8350 0.5000  0.01
S: 0.6993 0.6993 0.1670  -0.01
Rh: 0.3335 0.6665 0.0000  0.21


Record 11
A geometry-optimized Cs4KLiGa2F12 structure. Source: the Alexandria database, functional PBE.

Values from the calculation:
- Size of the total moment: 0.3 μB/f.u.
- Calculated volume: 18.6 Å³/atom
- Formation energy without anion corrections: -2.841 eV per atom

Lattice parameters (Å, degrees): 11.0344 11.0344 11.0344 33.86 33.86 33.86
Fractional coordinates of all 20 atoms:
Cs: 0.1328 0.1328 0.1328
F: 0.8179 0.4079 0.4079
F: 0.4079 0.8179 0.4079
F: 0.7614 0.7614 0.3318
Cs: 0.8672 0.8672 0.8672
F: 0.5921 0.5921 0.1821
Cs: 0.2857 0.2857 0.2857
F: 0.7614 0.3318 0.7614
F: 0.2386 0.2386 0.6682
F: 0.4079 0.4079 0.8179
F: 0.2386 0.6682 0.2386
Ga: 0.4155 0.4155 0.4155
F: 0.5921 0.1821 0.5921
F: 0.6682 0.2386 0.2386
Ga: 0.5845 0.5845 0.5845
Cs: 0.7143 0.7143 0.7143
F: 0.3318 0.7614 0.7614
K: 0.0000 0.0000 0.0000
F: 0.1821 0.5921 0.5921
Li: 0.5000 0.5000 0.5000


Record 12
A geometry-optimized Y2BeAs2 structure. Source: the Alexandria database, functional PBE.

Values from the calculation:
- Size of the total moment: 0.0 μB/f.u.
- Calculated volume: 20.9 Å³/atom
- Formation energy from the elements: -0.7734 eV/atom

Lattice parameters (Å, degrees): 7.2377 7.2377 3.9857 90.00 90.00 90.00
Fractional coordinates of all 10 atoms:
Y: 0.6590 0.8410 0.5000
Y: 0.3410 0.1590 0.5000
As: 0.1557 0.3443 0.0000
Be: 0.0000 0.0000 0.0000
As: 0.3443 0.8443 0.0000
Y: 0.8410 0.3410 0.5000
As: 0.6557 0.1557 0.0000
Y: 0.1590 0.6590 0.5000
Be: 0.5000 0.5000 0.0000
As: 0.8443 0.6557 0.0000


Record 13
A geometry-optimized NbMo2 structure. Source: the Alexandria database, functional PBE.

Values from the calculation:
- Size of the total moment: 0.0 μB/f.u.
- Calculated volume: 16.5 Å³/atom
- Formation energy from the elements: -0.1289 eV/atom

Lattice parameters (Å, degrees): 3.2069 3.2069 5.3328 107.50 107.50 90.00
Fractional coordinates of all 3 atoms:
Mo: 0.6703 0.6703 0.3406
Mo: 0.3297 0.3297 0.6594
Nb: 0.0000 0.0000 0.0000


Record 14
A geometry-optimized Cs3LiTe2O8 structure. Source: the Alexandria database, functional PBE.

Values from the calculation:
- Size of the total moment: 0.0 μB/f.u.
- Calculated volume: 21.4 Å³/atom
- Formation energy without anion corrections: -1.357 eV per atom

Lattice parameters (Å, degrees): 6.4172 6.4172 8.3957 90.00 90.00 120.00
Fractional coordinates of all 14 atoms:
O: 0.1765 0.8235 0.3253
O: 0.3530 0.1765 0.6747
O: 0.6470 0.8235 0.3253
O: 0.1765 0.3530 0.3253
Cs: 0.0000 0.0000 0.0000
O: 0.8235 0.6470 0.6747
Te: 0.3333 0.6667 0.2494
Te: 0.6667 0.3333 0.7506
Cs: 0.3333 0.6667 0.6832
O: 0.8235 0.1765 0.6747
Li: 0.0000 0.0000 0.5000
O: 0.6667 0.3333 0.9697
Cs: 0.6667 0.3333 0.3168
O: 0.3333 0.6667 0.0303


Record 15
A geometry-optimized Rb2GaHgBr structure. Source: the Alexandria database, functional PBE.

Values from the calculation:
- Size of the total moment: 0.0 μB/f.u.
- Calculated volume: 46.5 Å³/atom
- Formation energy without anion corrections: -0.438 eV per atom

Lattice parameters (Å, degrees): 6.8850 4.9032 6.8850 90.00 90.00 90.00
Fractional coordinates of all 5 atoms:
Hg: 0.0000 0.5000 0.0000
Br: 0.5000 0.5000 0.5000
Rb: 0.0000 0.0000 0.5000
Rb: 0.5000 0.0000 0.0000
Ga: 0.0000 0.0000 0.0000


Record 16
A geometry-optimized Nd3TmSn2C structure. Source: the Alexandria database, functional PBE.

Values from the calculation:
- Size of the total moment: 0.0 μB/f.u.
- Calculated volume: 28.2 Å³/atom
- Formation energy from the elements: -0.6163 eV/atom

Lattice parameters (Å, degrees): 4.8020 4.9813 8.9615 106.14 105.54 90.00
Fractional coordinates of all 7 atoms:
Nd: 0.0000 0.5000 0.0000
C: 0.0000 0.0000 0.0000
Tm: 0.5000 0.0000 0.0000
Nd: 0.8388 0.8388 0.6777
Nd: 0.1612 0.1612 0.3223
Sn: 0.6377 0.6377 0.2755
Sn: 0.3623 0.3623 0.7245


Record 17
A geometry-optimized HgTeAs2 structure. Source: the Alexandria database, functional PBE.

Values from the calculation:
- Size of the total moment: 0.0 μB/f.u.
- Calculated volume: 31.5 Å³/atom
- Formation energy without anion corrections: 0.319 eV per atom
- ΔE to the lowest computed polymorph: 0.230 eV/atom

Lattice parameters (Å, degrees): 3.9807 3.9857 7.9393 90.00 90.00 90.00
Fractional coordinates of all 4 atoms:
As: 0.0000 0.0000 0.9000
Te: 0.5000 0.5000 0.7500
As: 0.0000 0.0000 0.6000
Hg: 0.5000 0.5000 0.2500


Record 18
A geometry-optimized HgH4 structure. Source: the Alexandria database, functional PBE.

Values from the calculation:
- Total DFT energy (no corrections): -1.89 eV per atom
- Size of the total moment: 1.0 μB/f.u.
- Calculated volume: 10.3 Å³/atom

Lattice parameters (Å, degrees): 3.7244 3.7244 3.7244 90.00 90.00 90.00
Site moments in Bohr magnetons follow the coordinates.
Fractional coordinates of all 5 atoms:
H: 0.5000 0.5000 0.0000  0.02
H: 0.0000 0.0000 0.0000  0.37
H: 0.5000 0.0000 0.5000  0.02
H: 0.0000 0.5000 0.5000  0.02
Hg: 0.5000 0.5000 0.5000  0.04


Record 19
A geometry-optimized PrTm3ThSc structure. Source: the Alexandria database, functional PBE.

Values from the calculation:
- Size of the total moment: 0.0 μB/f.u.
- Calculated volume: 30.6 Å³/atom
- Formation energy from the elements: 0.0418 eV/atom

Lattice parameters (Å, degrees): 5.0007 7.8283 10.4400 116.19 90.00 90.00
Fractional coordinates of all 12 atoms:
Tm: 0.2500 0.1295 0.9548
Sc: 0.2500 0.1283 0.6271
Tm: 0.2500 0.6137 0.7903
Sc: 0.7500 0.8717 0.3729
Tm: 0.7500 0.3863 0.2097
Pr: 0.2500 0.1232 0.2967
Th: 0.7500 0.3781 0.8759
Tm: 0.2500 0.6328 0.4574
Tm: 0.7500 0.8705 0.0452
Pr: 0.7500 0.8768 0.7033
Th: 0.2500 0.6219 0.1241
Tm: 0.7500 0.3672 0.5426


Record 20
A geometry-optimized K2OsW structure. Source: the Alexandria database, functional PBE.

Values from the calculation:
- Size of the total moment: 0.0 μB/f.u.
- Calculated volume: 20.8 Å³/atom
- Formation energy from the elements: 1.4143 eV/atom
- ΔE to the lowest computed polymorph: 0.600 eV/atom

Lattice parameters (Å, degrees): 5.1812 6.5972 2.7004 81.62 81.36 111.22
Fractional coordinates of all 4 atoms:
K: 0.0000 0.0000 0.0000
Os: 0.0000 0.5000 0.5000
K: 0.5000 0.0000 0.5000
W: 0.5000 0.5000 0.0000